Arrangement A

! AgTe3Ir | the Alexandria database | PBE | optimized geometry; values from VASP
&SYSTEM
  ibrav = 0, nat = 5, ntyp = 3
/
ATOMIC_SPECIES
Te 127.60 Te.upf
Ag 107.87 Ag.upf
Ir 192.22 Ir.upf
ATOMIC_POSITIONS angstrom
Te 0.0000 0.0000 2.6301
Te 2.6301 0.0000 0.0000
Te 0.0000 2.6301 0.0000
Ag 0.0000 0.0000 0.0000
Ir 2.6301 2.6301 2.6301
CELL_PARAMETERS angstrom
5.2602 0.0000 0.0000
0.0000 5.2602 0.0000
0.0000 0.0000 5.2602
! **Density**: 7.79 Mg/m³
! **V**: 146 Å³/cell
! **Spin magnetization**: 0.00 μB/cell
! **Symmetry**: Pm-3m, No. 221

Arrangement B

! AgTe3Ir | the Alexandria database | PBE | optimized geometry; values from VASP
&SYSTEM
  ibrav = 0, nat = 5, ntyp = 3
/
ATOMIC_SPECIES
Ag 107.87 Ag.upf
Te 127.60 Te.upf
Ir 192.22 Ir.upf
ATOMIC_POSITIONS angstrom
Ag 2.6447 2.6447 2.6447
Te 0.0000 2.6447 0.0000
Ir 0.0000 0.0000 0.0000
Te 2.6447 0.0000 0.0000
Te 0.0000 0.0000 2.6447
CELL_PARAMETERS angstrom
5.2894 0.0000 0.0000
0.0000 5.2894 0.0000
0.0000 0.0000 5.2894
! **Density**: 7.66 Mg/m³
! **V**: 148 Å³/cell
! **Spin magnetization**: 0.00 μB/cell
! **Symmetry**: Pm-3m, No. 221

The most stable arrangement is arrangement B, and the next structure is 825 meV/atom less stable.

Arrangement A

! AgTe4Ir | the Alexandria database | PBE | optimized geometry; values from VASP
&SYSTEM
  ibrav = 0, nat = 6, ntyp = 3
/
ATOMIC_SPECIES
Te 127.60 Te.upf
Ir 192.22 Ir.upf
Ag 107.87 Ag.upf
ATOMIC_POSITIONS angstrom
Te -4.6055 -4.6015 5.2128
Te -3.5931 -3.5399 2.4993
Ir 0.0000 0.0000 0.0000
Ag -7.1982 -7.0917 5.0070
Te -6.5678 -4.2742 2.8554
Te -4.4287 -6.4955 2.7845
CELL_PARAMETERS angstrom
-2.0148 -2.1126 5.3999
-5.9198 -1.4612 0.7086
-1.6629 -5.8817 0.5675
! **Density**: 8.23 Mg/m³
! **V**: 164 Å³/cell
! **Spin magnetization**: 0.79 μB/cell
! **Symmetry**: F-43m, No. 216

Arrangement B

! AgTe4Ir | the Alexandria database | PBE | optimized geometry; values from VASP
&SYSTEM
  ibrav = 0, nat = 6, ntyp = 3
/
ATOMIC_SPECIES
Ag 107.87 Ag.upf
Te 127.60 Te.upf
Ir 192.22 Ir.upf
ATOMIC_POSITIONS angstrom
Ag 2.0614 0.0082 3.7880
Te 2.0614 1.4946 6.6599
Te 0.0000 4.0943 5.1144
Ir 0.0000 0.0000 0.0000
Te 0.0000 1.2122 2.3735
Te 2.0614 3.8119 0.8280
CELL_PARAMETERS angstrom
4.1228 0.0000 0.0000
0.0000 5.2900 -0.0880
0.0000 0.0164 7.5759
! **Density**: 8.14 Mg/m³
! **V**: 165 Å³/cell
! **Spin magnetization**: 0.00 μB/cell
! **Symmetry**: P2/m, No. 10

The most stable arrangement is arrangement B, and the next structure is 1324 meV/atom less stable.

Arrangement A

! Ag2TeIr2 | the Alexandria database | PBE | optimized geometry; values from VASP
&SYSTEM
  ibrav = 0, nat = 10, ntyp = 3
/
ATOMIC_SPECIES
Ag 107.87 Ag.upf
Ir 192.22 Ir.upf
Te 127.60 Te.upf
ATOMIC_POSITIONS angstrom
Ag 5.5380 1.4829 0.0000
Ir 3.1531 0.9020 1.4317
Ag 1.4829 2.5721 0.0000
Te 0.0000 0.0000 0.0000
Ag 2.5721 6.6271 0.0000
Ag 6.6271 5.5380 0.0000
Ir 7.2081 3.1531 1.4317
Ir 0.9020 4.9570 1.4317
Ir 4.9570 7.2081 1.4317
Te 4.0550 4.0550 0.0000
CELL_PARAMETERS angstrom
8.1100 0.0000 0.0000
0.0000 8.1100 0.0000
0.0000 0.0000 2.8635
! **Density**: 12.83 Mg/m³
! **V**: 188 Å³/cell
! **Spin magnetization**: 0.00 μB/cell
! **Symmetry**: P4/mbm, No. 127

Arrangement B

! Ag2TeIr2 | the Alexandria database | PBE | optimized geometry; values from VASP
&SYSTEM
  ibrav = 0, nat = 5, ntyp = 3
/
ATOMIC_SPECIES
Ag 107.87 Ag.upf
Ir 192.22 Ir.upf
Te 127.60 Te.upf
ATOMIC_POSITIONS angstrom
Ag -2.8770 -0.4666 -0.9780
Ag -8.1149 0.3749 -0.8822
Ir -5.3620 0.8833 -1.7675
Te 0.0000 0.0000 0.0000
Ir -5.6299 -0.9750 -0.0927
CELL_PARAMETERS angstrom
-1.1732 0.5962 -3.3058
-1.7090 -3.1205 0.0437
-8.1098 2.4326 1.4019
! **Density**: 11.63 Mg/m³
! **V**: 104 Å³/cell
! **Spin magnetization**: 0.00 μB/cell
! **Symmetry**: I4/mmm, No. 139

The most stable arrangement is arrangement B, and the next structure is 111 meV/atom less stable.

Arrangement A

! AgTeIr | the Alexandria database | PBE | optimized geometry; values from VASP
&SYSTEM
  ibrav = 0, nat = 3, ntyp = 3
/
ATOMIC_SPECIES
Ag 107.87 Ag.upf
Ir 192.22 Ir.upf
Te 127.60 Te.upf
ATOMIC_POSITIONS angstrom
Ag 0.0000 0.0000 0.3088
Ir 0.0000 2.1207 2.1120
Te 1.8366 1.0604 3.5314
CELL_PARAMETERS angstrom
3.6732 0.0000 0.0000
-1.8366 3.1811 0.0000
0.0000 0.0000 5.9522
! **Density**: 10.21 Mg/m³
! **V**: 70 Å³/cell
! **Spin magnetization**: 0.00 μB/cell
! **Symmetry**: P3m1, No. 156

Arrangement B

! AgTeIr | the Alexandria database | PBE | optimized geometry; values from VASP
&SYSTEM
  ibrav = 0, nat = 3, ntyp = 3
/
ATOMIC_SPECIES
Ag 107.87 Ag.upf
Ir 192.22 Ir.upf
Te 127.60 Te.upf
ATOMIC_POSITIONS angstrom
Ag 8.3606 4.4069 0.0000
Ir 2.5574 1.3480 0.0000
Te 5.8942 3.1068 0.0000
CELL_PARAMETERS angstrom
5.3742 -0.0065 -0.0186
3.0319 4.4373 0.0186
-4.1924 -2.2356 2.5116
! **Density**: 11.85 Mg/m³
! **V**: 60 Å³/cell
! **Spin magnetization**: 0.00 μB/cell
! **Symmetry**: I4mm, No. 107

Arrangement C

! AgTeIr | the Alexandria database | PBE | optimized geometry; values from VASP
&SYSTEM
  ibrav = 0, nat = 3, ntyp = 3
/
ATOMIC_SPECIES
Ir 192.22 Ir.upf
Ag 107.87 Ag.upf
Te 127.60 Te.upf
ATOMIC_POSITIONS angstrom
Ir -0.4783 -1.2463 2.4013
Ag -0.9566 -2.4926 4.8025
Te 0.0000 0.0000 0.0000
CELL_PARAMETERS angstrom
-3.1813 -1.6262 2.7135
0.7990 -3.6784 2.4412
0.4691 0.3194 4.4504
! **Density**: 11.12 Mg/m³
! **V**: 64 Å³/cell
! **Spin magnetization**: 0.00 μB/cell
! **Symmetry**: F-43m, No. 216

The most stable arrangement is arrangement C, and the next structure is 31 meV/atom less stable.

Arrangement A

! Ti2AgIr2 | the Alexandria database | PBE | optimized geometry; values from VASP
&SYSTEM
  ibrav = 0, nat = 10, ntyp = 3
/
ATOMIC_SPECIES
Ti 47.87 Ti.upf
Ir 192.22 Ir.upf
Ag 107.87 Ag.upf
ATOMIC_POSITIONS angstrom
Ti 6.2968 2.5611 1.4606
Ir 2.7041 6.4398 0.0000
Ir 4.7673 1.0316 0.0000
Ti 1.1746 4.9103 1.4606
Ag 0.0000 0.0000 0.0000
Ti 2.5611 1.1746 1.4606
Ti 4.9103 6.2968 1.4606
Ir 6.4398 4.7673 0.0000
Ag 3.7357 3.7357 0.0000
Ir 1.0316 2.7041 0.0000
CELL_PARAMETERS angstrom
7.4714 0.0000 0.0000
0.0000 7.4714 0.0000
0.0000 0.0000 2.9212
! **Density**: 11.98 Mg/m³
! **V**: 163 Å³/cell
! **Spin magnetization**: 0.00 μB/cell
! **Symmetry**: P4/mbm, No. 127

Arrangement B

! Ti2AgIr2 | the Alexandria database | PBE | optimized geometry; values from VASP
&SYSTEM
  ibrav = 0, nat = 10, ntyp = 3
/
ATOMIC_SPECIES
Ti 47.87 Ti.upf
Ag 107.87 Ag.upf
Ir 192.22 Ir.upf
ATOMIC_POSITIONS angstrom
Ti 6.4407 4.8884 0.0000
Ti 4.8884 1.1120 0.0000
Ti 2.6644 6.4407 0.0000
Ag 0.0000 0.0000 0.0000
Ir 2.6770 1.0994 1.4382
Ir 4.8758 6.4534 1.4382
Ir 1.0994 4.8758 1.4382
Ir 6.4534 2.6770 1.4382
Ti 1.1120 2.6644 0.0000
Ag 3.7764 3.7764 0.0000
CELL_PARAMETERS angstrom
7.5527 0.0000 0.0000
0.0000 7.5527 0.0000
0.0000 0.0000 2.8764
! **Density**: 11.90 Mg/m³
! **V**: 164 Å³/cell
! **Spin magnetization**: 0.00 μB/cell
! **Symmetry**: P4/mbm, No. 127

The most stable arrangement is arrangement A, and the next structure is 95 meV/atom less stable.

Arrangement A

! TiAgIr2 | the Alexandria database | PBE | optimized geometry; values from VASP
&SYSTEM
  ibrav = 0, nat = 8, ntyp = 3
/
ATOMIC_SPECIES
Ir 192.22 Ir.upf
Ag 107.87 Ag.upf
Ti 47.87 Ti.upf
ATOMIC_POSITIONS angstrom
Ir -0.5236 -7.8170 0.9152
Ir 1.5432 -3.4094 0.7141
Ir 1.1613 -9.5254 -0.3773
Ag -0.3648 -6.1331 -1.1041
Ir -0.1845 -3.5209 -1.3908
Ti 1.7191 -1.7243 -1.2840
Ag 0.0000 0.0000 0.0000
Ti 1.3630 -6.0033 1.0348
CELL_PARAMETERS angstrom
-0.0087 -1.8541 -3.4229
3.4469 -1.5944 0.8549
-2.4401 -8.6879 2.4986
! **Density**: 13.23 Mg/m³
! **V**: 136 Å³/cell
! **Spin magnetization**: 0.00 μB/cell
! **Symmetry**: I-42d, No. 122

Arrangement B

! TiAgIr2 | the Alexandria database | PBE | optimized geometry; values from VASP
&SYSTEM
  ibrav = 0, nat = 4, ntyp = 3
/
ATOMIC_SPECIES
Ir 192.22 Ir.upf
Ag 107.87 Ag.upf
Ti 47.87 Ti.upf
ATOMIC_POSITIONS angstrom
Ir -6.8868 1.7003 -4.0373
Ag -4.5912 1.1336 -2.6916
Ti 0.0000 0.0000 0.0000
Ir -2.2956 0.5668 -1.3458
CELL_PARAMETERS angstrom
-4.4206 0.2959 0.3315
-2.1943 3.1215 -2.2760
-2.5675 -1.1503 -3.4386
! **Density**: 14.46 Mg/m³
! **V**: 62 Å³/cell
! **Spin magnetization**: 0.00 μB/cell
! **Symmetry**: Fm-3m, No. 225

The most stable arrangement is arrangement B, and the next structure is 465 meV/atom less stable.